6
Lattice="4.453 0.000 0.000 0.000 4.453 0.000 0.000 0.000 13.841" Properties=species:S:1:pos:R:3 comment="Ba3NaLi2 | Alexandria via LeMat-Bulk | PBE | relaxed" spacegroup=P4/mmm e_form_ev_per_atom=0.033 magmom_total_mub_per_atom=0.0002 pbc="T T T"
Ba 0.000 0.000 0.000
Ba 0.000 0.000 9.553
Ba 0.000 0.000 4.288
Na 2.226 2.226 6.920
Li 2.226 2.226 11.684
Li 2.226 2.226 2.157